No. 1
8
Lattice="5.697 0.000 0.000 0.000 5.697 0.000 -2.849 -2.849 5.687" Properties=species:S:1:pos:R:3 comment="Zn2TeP | Alexandria via LeMat-Bulk | SCAN | single point on PBEsol structure" relative_energy_mev_per_atom=0.0 magnetic_moment_mub_per_cell=0.00 e_form_raw_mev_per_atom=-201 pbc="T T T"
Zn -1.424 -1.136 4.265
Zn 1.424 1.136 4.265
Zn 3.985 1.424 1.422
Zn 1.712 4.273 1.422
Te 0.000 2.849 2.843
Te 0.000 0.000 0.000
P 2.849 2.849 0.000
P 2.849 0.000 2.843

No. 2
4
Lattice="4.416 0.000 0.000 2.208 3.824 0.000 2.208 1.275 3.606" Properties=species:S:1:pos:R:3 comment="YMnTc2 | Alexandria via LeMat-Bulk | SCAN | single point on PBEsol structure" formation_enthalpy_0k_ev_per_fu=0.7 magnetic_moment_mub_per_cell=2.83 pbc="T T T"
Tc 0.000 0.000 0.000
Tc 2.208 1.275 0.901
Y 6.624 3.824 2.704
Mn 4.416 2.550 1.803

No. 3
10
Lattice="-1.678 7.914 -0.308 -7.663 2.541 0.615 -2.456 3.880 6.668" Properties=species:S:1:pos:R:3 comment="Cs2GaAuI6 | Alexandria via LeMat-Bulk | SCAN | single point on PBEsol structure" magnetic_moment_mub_per_cell=0.00 e_form_raw_mev_per_atom=-827 pbc="T T T"
I -3.781 7.542 1.583
I -6.783 4.846 2.046
I -4.171 5.518 5.083
I -8.015 6.793 5.392
I -7.625 8.817 1.892
I -5.013 9.489 4.929
Ga 0.000 0.000 0.000
Cs -2.949 3.584 1.744
Cs -8.847 10.751 5.232
Au -5.898 7.167 3.488

No. 4
4
Lattice="-1.494 -3.964 1.439 1.694 -3.778 -1.694 2.628 -2.600 2.520" Properties=species:S:1:pos:R:3 comment="ScTi2Ir | Alexandria via LeMat-Bulk | SCAN | single point on PBEsol structure" formation_enthalpy_0k_ev_per_fu=-2.2 magnetic_moment_mub_per_cell=0.00 pbc="T T T"
Ti 2.121 -7.757 1.699
Ti 0.707 -2.586 0.566
Ir 1.414 -5.171 1.133
Sc 0.000 0.000 0.000

No. 5
8
Lattice="6.550 0.000 0.000 0.000 6.550 0.000 -3.275 -3.275 6.806" Properties=species:S:1:pos:R:3 comment="Cd2SbI | Alexandria via LeMat-Bulk | SCAN | single point on PBEsol structure" magnetic_moment_mub_per_cell=0.00 e_form_raw_mev_per_atom=-265 pbc="T T T"
Sb 3.275 3.275 0.000
Sb 3.275 0.000 3.403
I 0.000 0.000 0.000
I 0.000 3.275 3.403
Cd 4.623 1.637 1.701
Cd 1.637 1.348 5.104
Cd -1.637 -1.348 5.104
Cd 1.927 4.912 1.701

No. 6
4
Lattice="3.627 0.000 0.000 0.000 3.627 0.000 0.000 0.000 3.627" Properties=species:S:1:pos:R:3 comment="AlCu3 | Alexandria via LeMat-Bulk | SCAN | single point on PBEsol structure" formation_enthalpy_0k_ev_per_fu=-1.0 magnetic_moment_mub_per_cell=0.00 pbc="T T T"
Cu 1.814 0.000 1.814
Cu 1.814 1.814 0.000
Cu 0.000 1.814 1.814
Al 0.000 0.000 0.000